4
Lattice="0.0000 3.8224 3.8224 3.8224 0.0000 3.8224 3.8224 3.8224 0.0000" Properties=species:S:1:pos:R:3 comment="PBE CaEuAgSn, relaxed" sg="No. 216" formation_enthalpy_0k_mev_per_atom=-528.3 dos_ef_per_ev_fu=12.7 volume_a3_per_cell=111.70 pbc="T T T"
Ca 0.0000 0.0000 0.0000
Eu 3.8224 3.8224 3.8224
Ag 1.9112 1.9112 1.9112
Sn 5.7336 5.7336 5.7336

4
Lattice="0.0000 3.7435 3.7435 3.7435 0.0000 3.7435 3.7435 3.7435 0.0000" Properties=species:S:1:pos:R:3 comment="PBE CaEuZnAg, relaxed" sg="No. 216" formation_enthalpy_0k_mev_per_atom=-266.6 dos_ef_per_ev_fu=8.4 volume_a3_per_cell=104.92 pbc="T T T"
Ca 0.0000 0.0000 0.0000
Eu 3.7435 3.7435 3.7435
Zn 5.6153 5.6153 5.6153
Ag 1.8718 1.8718 1.8718

5
Lattice="4.9886 0.0000 0.0000 0.0000 4.9886 0.0000 0.0000 0.0000 4.9886" Properties=species:S:1:pos:R:3 comment="PBE Ca3AgF, relaxed" sg="No. 221" dos_ef_per_ev_fu=3.2 e_form_raw_kj_per_mol_fu=-530 volume_a3_per_cell=124.15 pbc="T T T"
Ca 0.0000 0.0000 2.4943
Ca 0.0000 2.4943 0.0000
Ca 2.4943 0.0000 0.0000
Ag 2.4943 2.4943 2.4943
F 0.0000 0.0000 0.0000

8
Lattice="-4.4102 4.4102 2.3008 4.4102 -4.4102 2.3008 4.4102 4.4102 -2.3008" Properties=species:S:1:pos:R:3 comment="PBE CaAg2F, relaxed" sg="No. 122" dos_ef_per_ev_fu=1.3 e_form_raw_kj_per_mol_fu=-398 volume_a3_per_cell=179.00 pbc="T T T"
Ca 0.0000 0.0000 0.0000
Ca 0.0000 4.4102 1.1504
Ag 2.2051 2.8261 -0.5752
Ag 5.9942 2.2051 0.5752
Ag 2.2051 1.5840 1.7256
Ag -1.5840 2.2051 2.8760
F 4.4102 0.0000 1.1504
F 0.0000 0.0000 2.3008

9
Lattice="5.8390 -2.0766 0.0000 5.8390 2.0766 0.0000 -4.0344 0.0000 6.2846" Properties=species:S:1:pos:R:3 comment="PBE CaAg2F6, relaxed" sg="No. 12" dos_ef_per_ev_fu=1.2 e_form_raw_kj_per_mol_fu=-1769 volume_a3_per_cell=152.41 pbc="T T T"
Ca 0.0000 0.0000 0.0000
Ag -0.3803 0.0000 3.9364
Ag 8.0238 0.0000 2.3481
F -1.1040 0.0000 1.9455
F 2.0039 0.0000 2.2764
F 0.6240 0.0000 5.7764
F 7.0195 0.0000 0.5082
F 5.6396 0.0000 4.0082
F 8.7475 0.0000 4.3391

11
Lattice="3.4087 -5.2479 0.0000 3.4087 5.2479 0.0000 -1.2312 0.0000 6.0307" Properties=species:S:1:pos:R:3 comment="PBE Ca2Ag2F7, relaxed" sg="No. 12" dos_ef_per_ev_fu=0.5 e_form_raw_kj_per_mol_fu=-2718 volume_a3_per_cell=215.76 pbc="T T T"
Ca 3.4087 3.3454 0.0000
Ca 3.4087 -3.3454 0.0000
Ag 0.8369 0.0000 3.7468
Ag 4.7493 0.0000 2.2839
F 0.0758 0.0000 1.3835
F 0.7942 1.9947 4.8974
F 0.7942 -1.9947 4.8974
F 2.7931 0.0000 3.0153
F 4.7920 1.9947 1.1333
F 4.7920 -1.9947 1.1333
F 5.5104 0.0000 4.6472

4
Lattice="2.0292 1.1716 6.2232 -2.0292 1.1716 6.2232 0.0000 -2.3431 6.2232" Properties=species:S:1:pos:R:3 comment="PBE CaAgF2, relaxed" sg="No. 166" dos_ef_per_ev_fu=0.8 e_form_raw_kj_per_mol_fu=-677 volume_a3_per_cell=88.77 pbc="T T T"
Ca 0.0000 0.0000 0.0000
Ag 0.0000 0.0000 9.3347
F 0.0000 0.0000 2.1142
F 0.0000 0.0000 16.5553

7
Lattice="3.4830 -5.0895 0.0000 3.4830 5.0895 0.0000 0.0000 0.0000 3.6004" Properties=species:S:1:pos:R:3 comment="PBE CaAg2F4, relaxed" sg="No. 65" e_form_raw_kj_per_mol_fu=-1462 volume_a3_per_cell=127.64 pbc="T T T"
Ca 0.0000 0.0000 0.0000
Ag 1.7415 2.5448 1.8002
Ag 1.7415 -2.5448 1.8002
F 1.4072 0.0000 1.8002
F 3.4830 2.8216 0.0000
F 3.4830 -2.8216 0.0000
F 5.5587 0.0000 1.8002

5
Lattice="5.6159 0.0000 0.0000 0.0000 5.6159 0.0000 0.0000 0.0000 5.6159" Properties=species:S:1:pos:R:3 comment="PBE CaAg3F, relaxed" sg="No. 221" dos_ef_per_ev_fu=10.6 e_form_raw_kj_per_mol_fu=311 volume_a3_per_cell=177.12 pbc="T T T"
Ca 0.0000 0.0000 0.0000
Ag 0.0000 0.0000 2.8080
Ag 0.0000 2.8080 0.0000
Ag 2.8080 0.0000 0.0000
F 2.8080 2.8080 2.8080

13
Lattice="6.0421 -4.1401 0.0000 6.0421 4.1401 0.0000 -0.6367 0.0000 3.8197" Properties=species:S:1:pos:R:3 comment="PBE Ca2Ag3F8, relaxed" sg="No. 12" dos_ef_per_ev_fu=6.0 e_form_raw_kj_per_mol_fu=-2888 volume_a3_per_cell=191.09 pbc="T T T"
Ca 2.8049 0.0000 0.0365
Ca 8.6425 0.0000 3.7832
Ag 5.7237 2.2398 1.9098
Ag 6.0421 0.0000 0.0000
Ag 5.7237 -2.2398 1.9098
F 4.3460 2.0471 0.2395
F 1.1955 0.0000 1.6993
F 3.8996 0.0000 2.1713
F 7.1014 2.0471 3.5802
F 4.3460 -2.0471 0.2395
F 7.5479 0.0000 1.6483
F 10.2520 0.0000 2.1204
F 7.1014 -2.0471 3.5802

32
Lattice="8.6695 0.0000 0.0000 0.0000 11.1856 0.0000 0.0000 0.0000 5.7755" Properties=species:S:1:pos:R:3 comment="PBE CaAg2F5, relaxed" sg="No. 60" dos_ef_per_ev_fu=3.5 e_form_raw_kj_per_mol_fu=-1604 volume_a3_per_cell=560.07 pbc="T T T"
Ca 0.0000 1.0441 1.4439
Ca 0.0000 10.1415 4.3317
Ca 4.3348 4.5487 4.3317
Ca 4.3348 6.6369 1.4439
Ag 1.5557 4.2869 0.5382
Ag 1.5557 6.8986 3.4260
Ag 2.7791 1.3058 3.4260
Ag 2.7791 9.8797 0.5382
Ag 5.8904 1.3058 5.2373
Ag 5.8904 9.8797 2.3495
Ag 7.1139 4.2869 2.3495
Ag 7.1139 6.8986 5.2373
F 0.0000 5.4944 1.4439
F 0.0000 5.6911 4.3317
F 1.3127 0.4023 5.4712
F 1.3127 10.7833 2.5834
F 1.4751 2.5872 2.1647
F 1.4751 8.5984 5.0524
F 2.8596 3.0056 5.0524
F 2.8596 8.1800 2.1647
F 3.0221 5.1905 2.5834
F 3.0221 5.9951 5.4712
F 4.3348 0.0983 4.3317
F 4.3348 11.0872 1.4439
F 5.6475 5.1905 0.3044
F 5.6475 5.9951 3.1921
F 5.8099 3.0056 3.6109
F 5.8099 8.1800 0.7231
F 7.1944 2.5872 0.7231
F 7.1944 8.5984 3.6109
F 7.3568 0.4023 3.1921
F 7.3568 10.7833 0.3044

5
Lattice="4.7819 0.0000 0.0000 0.0000 4.7819 0.0000 0.0000 0.0000 4.7819" Properties=species:S:1:pos:R:3 comment="PBE CaAg3F, relaxed" sg="No. 221" dos_ef_per_ev_fu=2.8 e_form_raw_kj_per_mol_fu=-120 volume_a3_per_cell=109.34 pbc="T T T"
Ca 0.0000 0.0000 0.0000
Ag 0.0000 2.3909 2.3909
Ag 2.3909 0.0000 2.3909
Ag 2.3909 2.3909 0.0000
F 2.3909 2.3909 2.3909

7
Lattice="3.0243 -4.4789 0.0000 3.0243 4.4789 0.0000 0.0000 0.0000 3.8695" Properties=species:S:1:pos:R:3 comment="PBE CaAg2F4, relaxed" sg="No. 65" e_form_raw_kj_per_mol_fu=-1447 volume_a3_per_cell=104.83 pbc="T T T"
Ca 0.0000 0.0000 0.0000
Ag 3.0243 1.6822 1.9347
Ag 3.0243 -1.6822 1.9347
F 1.5122 2.2394 0.0000
F 1.2765 0.0000 1.9347
F 1.5122 -2.2394 0.0000
F 4.7721 0.0000 1.9347

8
Lattice="-2.9500 2.9500 5.4167 2.9500 -2.9500 5.4167 2.9500 2.9500 -5.4167" Properties=species:S:1:pos:R:3 comment="PBE CaAgF2, relaxed" sg="No. 122" dos_ef_per_ev_fu=0.3 e_form_raw_kj_per_mol_fu=-874 volume_a3_per_cell=188.56 pbc="T T T"
Ca 0.0000 0.0000 0.0000
Ca 0.0000 2.9500 2.7084
Ag 2.9500 0.0000 2.7084
Ag 0.0000 0.0000 5.4167
F 4.4250 0.8139 -1.3542
F 0.8139 1.4750 1.3542
F -1.4750 2.1361 4.0626
F 2.1361 1.4750 6.7709

11
Lattice="4.0962 -3.8117 0.0000 4.0962 3.8117 0.0000 -0.6620 0.0000 5.6088" Properties=species:S:1:pos:R:3 comment="PBE Ca2Ag2F7, relaxed" sg="No. 12" dos_ef_per_ev_fu=4.2 e_form_raw_kj_per_mol_fu=-2725 volume_a3_per_cell=175.15 pbc="T T T"
Ca 1.5392 0.0000 2.8004
Ca 5.9911 0.0000 2.8084
Ag 4.0962 1.9159 0.0000
Ag 4.0962 -1.9159 0.0000
F -0.3083 0.0000 4.1568
F 1.7789 1.8849 4.2193
F 5.7514 1.8849 1.3895
F 3.7652 0.0000 2.8044
F 1.7789 -1.8849 4.2193
F 5.7514 -1.8849 1.3895
F 7.8386 0.0000 1.4520

13
Lattice="3.5438 2.0460 5.5900 -3.5438 2.0460 5.5900 0.0000 -4.0921 5.5900" Properties=species:S:1:pos:R:3 comment="PBE CaAg4F8, relaxed" sg="No. 166" dos_ef_per_ev_fu=13.1 e_form_raw_kj_per_mol_fu=-2062 volume_a3_per_cell=243.20 pbc="T T T"
Ca 0.0000 0.0000 0.0000
Ag -3.5438 0.0000 8.3851
Ag -1.7719 1.0230 2.7950
Ag 1.7719 1.0230 2.7950
Ag 0.0000 0.0000 8.3851
F -1.9883 -1.1479 9.7160
F 0.0000 0.0000 3.7021
F 0.0000 -2.2958 7.0542
F -1.9883 1.1479 7.0542
F 1.9883 -1.1479 9.7160
F 0.0000 2.2958 9.7160
F 0.0000 0.0000 13.0680
F 1.9883 1.1479 7.0542

10
Lattice="6.9918 0.0000 0.0000 0.0000 6.9918 0.0000 0.0000 0.0000 4.9347" Properties=species:S:1:pos:R:3 comment="PBE Ca2Ag2F, relaxed" sg="No. 127" dos_ef_per_ev_fu=1.1 e_form_raw_kj_per_mol_fu=-499 volume_a3_per_cell=241.24 pbc="T T T"
Ca 1.3044 2.1915 0.0000
Ca 2.1915 5.6874 0.0000
Ca 4.8003 1.3044 0.0000
Ca 5.6874 4.8003 0.0000
Ag 0.9437 4.4396 2.4674
Ag 2.5522 0.9437 2.4674
Ag 4.4396 6.0481 2.4674
Ag 6.0481 2.5522 2.4674
F 0.0000 0.0000 0.0000
F 3.4959 3.4959 0.0000

80
Lattice="-8.0935 8.0935 8.0935 8.0935 -8.0935 8.0935 8.0935 8.0935 -8.0935" Properties=species:S:1:pos:R:3 comment="PBE Ca12Ag3F5, relaxed" sg="No. 230" dos_ef_per_ev_fu=11.8 e_form_raw_kj_per_mol_fu=-2774 volume_a3_per_cell=2120.66 pbc="T T T"
Ca 2.4860 -0.5584 0.9112
Ca 9.6543 4.9579 -4.6051
Ca 10.5795 0.5584 0.9112
Ca 9.6543 -3.1356 4.6051
Ca 7.5351 -0.9112 2.4860
Ca 12.6986 -1.5608 3.1356
Ca 0.9112 2.4860 -0.5584
Ca 11.2291 3.4884 -1.5608
Ca 4.9579 4.6051 -1.5608
Ca 7.1824 2.4860 0.5584
Ca -0.5584 0.9112 2.4860
Ca 4.6051 -1.5608 4.9579
Ca 7.5351 7.1824 -2.4860
Ca 4.6051 1.5608 3.1356
Ca 4.9579 -4.6051 9.6543
Ca 7.1824 -2.4860 7.5351
Ca 3.1356 4.6051 1.5608
Ca 9.0047 5.6076 0.5584
Ca 4.6051 9.6543 -3.1356
Ca 7.5351 0.9112 5.6076
Ca 2.4860 7.5351 -0.9112
Ca 9.6543 3.1356 3.4884
Ca 1.5608 3.1356 4.6051
Ca 2.4860 0.5584 7.1824
Ca 5.6076 7.5351 0.9112
Ca 6.5327 4.9579 3.4884
Ca -1.5608 4.9579 4.6051
Ca 5.6076 0.5584 9.0047
Ca 0.5584 7.1824 2.4860
Ca 3.4884 -1.5608 11.2291
Ca -0.9112 2.4860 7.5351
Ca 4.9579 3.4884 6.5327
Ca 0.9112 10.5795 0.5584
Ca 3.1356 12.6986 -1.5608
Ca 3.4884 6.5327 4.9579
Ca 0.5584 0.9112 10.5795
Ca 3.4884 9.6543 3.1356
Ca 8.6519 7.1824 5.6076
Ca 0.9112 5.6076 7.5351
Ca 3.1356 3.4884 9.6543
Ca -3.1356 4.6051 9.6543
Ca 7.1824 5.6076 8.6519
Ca -4.6051 9.6543 4.9579
Ca 0.5584 9.0047 5.6076
Ca -1.5608 11.2291 3.4884
Ca -2.4860 7.5351 7.1824
Ca -1.5608 3.1356 12.6986
Ca 5.6076 8.6519 7.1824
Ag 4.0468 2.0234 0.0000
Ag 8.0935 4.0468 -2.0234
Ag 2.0234 0.0000 4.0468
Ag 10.1169 0.0000 4.0468
Ag 0.0000 4.0468 2.0234
Ag 4.0468 -2.0234 8.0935
Ag 4.0468 10.1169 0.0000
Ag 8.0935 4.0468 6.0701
Ag -2.0234 8.0935 4.0468
Ag 6.0701 8.0935 4.0468
Ag 0.0000 4.0468 10.1169
Ag 4.0468 6.0701 8.0935
F 0.0000 0.0000 0.0000
F 4.0468 4.0468 -4.0468
F 4.0468 -4.0468 4.0468
F 8.0935 0.0000 0.0000
F 12.1403 2.0234 0.0000
F 8.0935 -4.0468 6.0701
F 6.0701 8.0935 -4.0468
F 6.0701 0.0000 4.0468
F 4.0468 6.0701 0.0000
F 8.0935 4.0468 2.0234
F -4.0468 4.0468 4.0468
F 0.0000 8.0935 0.0000
F 0.0000 0.0000 8.0935
F 4.0468 4.0468 4.0468
F 0.0000 4.0468 6.0701
F 4.0468 2.0234 8.0935
F 2.0234 8.0935 4.0468
F 2.0234 0.0000 12.1403
F 0.0000 12.1403 2.0234
F -4.0468 6.0701 8.0935

11
Lattice="-2.8229 2.8229 5.3588 2.8229 -2.8229 5.3588 2.8229 2.8229 -5.3588" Properties=species:S:1:pos:R:3 comment="PBE CaAg2F8, relaxed" sg="No. 97" e_form_raw_kj_per_mol_fu=-1938 volume_a3_per_cell=170.81 pbc="T T T"
Ca 0.0000 0.0000 0.0000
Ag 2.8229 0.0000 2.6794
Ag 0.0000 2.8229 2.6794
F 3.8852 0.9472 -1.3222
F 0.9472 1.7606 -1.3222
F 1.7606 0.9472 1.3222
F 1.8756 -1.0623 6.6810
F 1.8756 1.0623 4.0366
F -1.0623 1.8756 4.0366
F 0.9472 3.8852 1.3222
F 1.0623 1.8756 6.6810